(1)
Entry from Alexandria via LeMat-Bulk: Li2LaSeF after structural relaxation (PBEsol).

The structure in CIF format:
```
data_Li2LaSeF
_chemical_formula_sum 'Li2 La1 Se1 F1'
_cell_length_a 5.392
_cell_length_b 6.773
_cell_length_c 6.773
_cell_angle_alpha 90.00
_cell_angle_beta 90.00
_cell_angle_gamma 90.00
_space_group_name_H-M_alt 'P 1'
_space_group_IT_number 1
_space_group_name_Hall 'P 1'
loop_
_atom_site_label
_atom_site_type_symbol
_atom_site_fract_x
_atom_site_fract_y
_atom_site_fract_z
F1 F 0.500 0.500 0.500
Li1 Li 0.000 0.000 0.500
Li2 Li 0.000 0.500 0.000
Se1 Se 0.500 0.000 0.000
La1 La 0.000 0.000 0.000
```

Its total magnetic moment is 0.11 μB per formula unit. For the formation energy from raw total energies, the calculation gives -0.087 eV/atom.

(2)
Entry from Alexandria via LeMat-Bulk: LaMg2F after structural relaxation (PBEsol).

The structure in CIF format:
```
data_LaMg2F
_chemical_formula_sum 'La2 Mg4 F2'
_cell_length_a 6.544
_cell_length_b 6.544
_cell_length_c 6.544
_cell_angle_alpha 60.00
_cell_angle_beta 60.00
_cell_angle_gamma 60.00
_space_group_name_H-M_alt 'P 1'
_space_group_IT_number 1
_space_group_name_Hall 'P 1'
loop_
_atom_site_label
_atom_site_type_symbol
_atom_site_fract_x
_atom_site_fract_y
_atom_site_fract_z
Mg1 Mg 0.125 0.125 0.625
Mg2 Mg 0.125 0.125 0.125
Mg3 Mg 0.625 0.125 0.125
Mg4 Mg 0.125 0.625 0.125
F1 F 0.250 0.250 0.250
F2 F 0.000 0.000 0.000
La1 La 0.750 0.750 0.750
La2 La 0.500 0.500 0.500
```

Its total magnetic moment is 0.00 μB per formula unit. For the formation energy from raw total energies, the calculation gives -0.963 eV/atom.

(3)
Entry from Alexandria via LeMat-Bulk: NaLaMg2F after structural relaxation (PBEsol).

The structure in CIF format:
```
data_NaLaMg2F
_chemical_formula_sum 'Na1 La1 Mg2 F1'
_cell_length_a 5.106
_cell_length_b 4.917
_cell_length_c 4.917
_cell_angle_alpha 90.00
_cell_angle_beta 90.00
_cell_angle_gamma 90.00
_space_group_name_H-M_alt 'P 1'
_space_group_IT_number 1
_space_group_name_Hall 'P 1'
loop_
_atom_site_label
_atom_site_type_symbol
_atom_site_fract_x
_atom_site_fract_y
_atom_site_fract_z
Na1 Na 0.500 0.500 0.500
Mg1 Mg 0.000 0.000 0.500
Mg2 Mg 0.000 0.500 0.000
F1 F 0.000 0.000 0.000
La1 La 0.500 0.000 0.000
```

Its total magnetic moment is 0.00 μB per formula unit. For the formation energy from raw total energies, the calculation gives -0.723 eV/atom.